Crystalline ErCdP2O8 at its relaxed geometry. Source: the Alexandria database, functional PBE-GGA.

As for the space group: P-3m1, No. 164. The calculation puts the volume at 13.85 Å³/atom.

Geometry as POSCAR:
```
ErCdP2O8
1.0
-3.6654 -0.9945 3.6512
-1.1376 -0.6066 -5.1081
2.0981 -6.5799 0.3141
O Er Cd P
8 1 1 2
Cartesian
0.5425 -5.2697 -0.8910 O
-2.6939 -2.6163 2.2317 O
-0.0110 -5.5647 -3.3746 O
-1.7929 -6.0482 -1.5990 O
-3.2475 -2.9113 -0.2519 O
-0.7952 -7.2241 1.0349 O
-1.9097 -0.9569 -2.1778 O
-0.9120 -2.1328 0.4561 O
0.0000 0.0000 0.0000 Er
1.0491 -3.2900 0.1570 Cd
-0.2796 -6.0692 -1.9338 P
-2.4253 -2.1118 0.7909 P
```

Crystalline ErPa2CdO8 at its relaxed geometry. Source: the Alexandria database, functional PBE-GGA.

As for the space group: I-4m2, No. 119. The calculation puts the volume at 13.12 Å³/atom.

Geometry as POSCAR:
```
ErPa2CdO8
1.0
5.4053 0.0000 0.0000
0.0000 5.4053 0.0000
-2.7026 -2.7026 5.3890
O Pa Cd Er
8 2 1 1
Cartesian
1.3233 3.9836 1.3227 O
1.3219 1.4224 1.3203 O
-1.2802 1.3808 4.0687 O
1.2802 -1.3808 4.0687 O
1.2809 1.3794 4.0663 O
4.0834 3.9829 1.3203 O
-1.2809 -1.3794 4.0663 O
4.0820 1.4217 1.3227 O
0.0000 2.7026 2.6945 Pa
2.7026 2.7026 0.0000 Pa
2.7026 0.0000 2.6945 Cd
0.0000 0.0000 0.0000 Er
```

Crystalline ErPaCd2O6 at its relaxed geometry. Source: the Alexandria database, functional PBE-GGA.

As for the space group: R3, No. 146. The calculation puts the volume at 14.81 Å³/atom.

Geometry as POSCAR:
```
ErPaCd2O6
1.0
-3.1517 4.7524 -0.9166
-2.8718 0.6470 -4.9693
-6.0926 -0.5120 0.0978
Cd O Er Pa
2 6 1 1
Cartesian
-5.6594 2.6694 -3.0951 Cd
-5.6665 -0.2707 -0.1172 Cd
-4.1006 2.8405 -1.4701 O
-4.9477 1.3708 -4.7999 O
-6.3365 4.6986 -3.8187 O
-8.0689 2.1676 -3.8033 O
-7.1316 2.9879 -1.0238 O
-6.2292 0.3329 -2.2134 O
-2.2331 1.6723 -1.8484 Er
-8.2612 4.1329 -4.7575 Pa
```

Crystalline Er2CdPbO6 at its relaxed geometry. Source: the Alexandria database, functional PBE-GGA.

As for the space group: R3, No. 146. The calculation puts the volume at 14.60 Å³/atom.

Geometry as POSCAR:
```
Er2CdPbO6
1.0
-1.5838 3.9350 -3.8827
-0.0316 -1.3306 -5.5942
-5.3771 -0.6874 -2.7616
Pb O Er Cd
1 6 2 1
Cartesian
-0.8498 0.7681 -3.1334 Pb
-1.6796 -0.5179 -6.6971 O
-4.2700 -0.5084 -4.8445 O
-2.7796 2.6527 -7.6783 O
-5.1714 2.1011 -5.6055 O
-2.2747 1.9480 -4.2909 O
-4.6958 0.1100 -7.6079 O
-5.0816 -0.5924 -2.7859 Er
-3.1751 1.0617 -6.1455 Er
-4.5198 1.6707 -9.2382 Cd
```

Crystalline ErCdPdO4 at its relaxed geometry. Source: the Alexandria database, functional PBE-GGA.

As for the space group: Imma, No. 74. The calculation puts the volume at 14.15 Å³/atom.

Geometry as POSCAR:
```
ErCdPdO4
1.0
-6.1622 2.6538 -1.5829
1.1850 -6.3147 -0.1892
0.0002 3.4812 5.8356
Er O Pd Cd
2 8 2 2
Cartesian
-3.0811 1.3269 -0.7915 Er
-3.0810 3.0675 2.1263 Er
-4.0839 1.1847 2.8738 O
-4.4183 2.7164 0.3577 O
-3.1804 -1.7670 3.0323 O
-0.5587 -2.8961 3.7058 O
-4.0840 -0.2253 0.5103 O
-0.8932 -1.3643 1.1897 O
-0.8931 0.0457 3.5532 O
-1.7967 1.5874 1.0312 O
0.5926 -1.4167 2.8232 Pd
-2.4885 -0.0898 2.0317 Pd
-0.4031 1.9203 4.7887 Cd
-4.5739 -2.0999 -0.7252 Cd
```

Crystalline Pr2ErCdO at its relaxed geometry. Source: the Alexandria database, functional PBE-GGA.

As for the space group: P4/mmm, No. 123. The calculation puts the volume at 24.14 Å³/atom.

Geometry as POSCAR:
```
Pr2ErCdO
1.0
4.6643 0.0000 0.0000
0.0000 5.0872 0.0000
0.0000 0.0000 5.0872
Pr O Cd Er
2 1 1 1
Cartesian
0.0000 0.0000 2.5436 Pr
0.0000 2.5436 0.0000 Pr
0.0000 0.0000 0.0000 O
2.3322 2.5436 2.5436 Cd
2.3322 0.0000 0.0000 Er
```

Crystalline ErCdPtO4 at its relaxed geometry. Source: the Alexandria database, functional PBE-GGA.

As for the space group: Imma, No. 74. The calculation puts the volume at 14.13 Å³/atom.

Geometry as POSCAR:
```
ErCdPtO4
1.0
7.0757 0.0000 0.0000
-3.5378 5.2766 -0.7754
0.0000 -3.5372 5.8170
Cd O Er Pt
2 8 2 2
Cartesian
3.5378 3.6921 0.2531 Cd
0.0000 -1.9527 4.7885 Cd
1.4740 4.3890 0.6769 O
0.0000 0.0213 3.5495 O
0.0000 1.3926 1.2942 O
5.0119 -2.6496 4.3647 O
3.5378 0.3468 3.7474 O
2.0638 -2.6496 4.3647 O
3.5378 1.7181 1.4922 O
-1.4740 4.3890 0.6769 O
3.5378 0.0000 0.0000 Er
3.5378 -1.7686 2.9085 Er
1.7689 0.8697 2.5208 Pt
-1.7689 0.8697 2.5208 Pt
```

Crystalline ErPuCd2O6 at its relaxed geometry. Source: the Alexandria database, functional PBE-GGA.

As for the space group: R3, No. 146. The calculation puts the volume at 14.46 Å³/atom.

Geometry as POSCAR:
```
ErPuCd2O6
1.0
-3.4619 4.5738 0.1479
-5.2951 -0.3376 -2.1848
-4.6881 -0.0727 3.8375
O Cd Er Pu
6 2 1 1
Cartesian
-7.6419 4.1313 -0.1176 O
-8.7828 1.7119 1.5401 O
-6.9649 0.5615 -1.0261 O
-4.3205 2.5941 0.6774 O
-6.2999 0.2582 2.0348 O
-6.5458 3.0490 2.8559 O
-4.5183 0.0697 3.4039 Cd
-6.5270 2.2460 0.4011 Cd
-9.7384 3.4126 0.4686 Er
-2.9940 1.3491 -0.4874 Pu
```

Crystalline Rb2ErCd2O4 at its relaxed geometry. Source: the Alexandria database, functional PBE-GGA.

As for the space group: C2/m, No. 12. The calculation puts the volume at 19.93 Å³/atom.

Geometry as POSCAR:
```
Rb2ErCd2O4
1.0
-2.9656 1.7790 0.6975
-2.1391 -6.6506 7.8673
5.1246 5.7333 -1.7563
Rb O Er Cd
2 4 1 2
Cartesian
0.1092 2.3533 3.3841 Rb
-0.0893 -1.4916 3.4245 Rb
-1.2212 -0.8508 5.8996 O
-1.6040 0.1790 1.6455 O
1.2411 1.7125 0.9090 O
1.6240 0.6828 5.1631 O
0.0000 0.0000 0.0000 Er
0.1645 -2.3790 6.7667 Cd
-0.1445 3.2408 0.0419 Cd
```

Crystalline RbErCdO3 at its relaxed geometry. Source: the Alexandria database, functional PBE-GGA.

As for the space group: P2_1/m, No. 11. The calculation puts the volume at 21.58 Å³/atom.

Geometry as POSCAR:
```
RbErCdO3
1.0
-2.8481 -1.6978 -1.0193
2.0843 -6.1331 4.3918
-5.1386 4.5982 6.6987
O Rb Er Cd
6 2 2 2
Cartesian
-4.4689 2.0488 6.1228 O
-1.7672 -3.4092 1.7625 O
-1.8034 -3.0320 7.1378 O
-4.0989 -0.2007 2.9334 O
-1.4334 -5.2815 3.9484 O
-4.1351 0.1765 8.3087 O
-4.4017 -2.8431 8.1806 Rb
-1.5006 -0.3896 1.8906 Rb
-0.0441 -3.6751 3.2934 Er
-5.8582 0.4424 6.7778 Er
-2.4949 -4.5957 5.7721 Cd
-3.4074 1.3630 4.2991 Cd
```

Crystalline ErCdReO6 at its relaxed geometry. Source: the Alexandria database, functional PBE-GGA.

As for the space group: P312, No. 149. The calculation puts the volume at 13.73 Å³/atom.

Geometry as POSCAR:
```
ErCdReO6
1.0
-4.8771 1.3300 2.1159
-1.3520 -1.6815 5.0375
1.8747 3.9667 1.8272
O Cd Re Er
6 1 1 1
Cartesian
-0.3465 3.2515 2.2564 O
0.3112 1.8913 4.5345 O
-2.5619 1.8425 2.0305 O
-1.9679 0.4996 4.3362 O
-2.1172 3.1306 4.3354 O
-0.1512 0.5813 2.2953 O
-3.0023 5.2966 3.9430 Cd
-1.1389 1.8661 3.2980 Re
-3.2153 1.7489 5.6824 Er
```

Crystalline ErCd2RuO6 at its relaxed geometry. Source: the Alexandria database, functional PBE-GGA.

As for the space group: P4mm, No. 99. The calculation puts the volume at 15.01 Å³/atom.

Geometry as POSCAR:
```
ErCd2RuO6
1.0
4.5226 0.0000 0.0000
0.0000 5.7603 0.0000
0.0000 0.0000 5.7603
Cd Er O Ru
2 1 6 1
Cartesian
4.4408 0.0000 2.8801 Cd
4.4408 2.8801 0.0000 Cd
2.8410 2.8801 2.8801 Er
0.6879 2.8801 2.8801 O
3.2610 1.3212 1.3212 O
3.2610 4.4391 4.4391 O
3.2610 1.3212 4.4391 O
0.9800 0.0000 0.0000 O
3.2610 4.4391 1.3212 O
2.7216 0.0000 0.0000 Ru
```

no.,E_form (uncorrected) (eV per atom),DFT total energy (Ha/atom)
1,-2.1919,-0.2519
2,-3.0107,-0.3071
3,-2.5795,-0.2625
4,-2.2637,-0.2430
5,-1.6563,-0.2210
6,-1.2747,-0.1938
7,-1.6287,-0.2244
8,-2.2702,-0.2689
9,-1.6720,-0.1764
10,-2.0358,-0.2054
11,-1.9792,-0.2674
12,-1.3709,-0.2173